{
  "formula": "Sr3Tl4Ag2",
  "functional": "PBE",
  "state": "relaxed",
  "cell": [[5.950, -2.533, 0.000], [5.950, 2.533, 0.000], [-3.965, 0.000, 8.943]],
  "species": ["Sr", "Sr", "Sr", "Tl", "Tl", "Tl", "Tl", "Ag", "Ag"],
  "frac_coords": [[0.000, 0.000, 0.000], [0.322, 0.322, 0.353], [0.678, 0.678, 0.647], [0.028, 0.028, 0.361], [0.267, 0.267, 0.921], [0.733, 0.733, 0.079], [0.972, 0.972, 0.639], [0.407, 0.407, 0.733], [0.593, 0.593, 0.267]],
  "energy_ev_per_atom": -2.5744
}

{
  "formula": "GdIn2Cu",
  "functional": "PBE",
  "state": "relaxed",
  "cell": [[4.515, 0.000, 0.000], [0.000, 20.330, 0.000], [0.000, 0.000, 3.971]],
  "species": ["Gd", "Gd", "Gd", "Gd", "In", "In", "In", "In", "In", "In", "In", "In", "Cu", "Cu", "Cu", "Cu"],
  "frac_coords": [[0.000, 0.136, 0.000], [0.000, 0.864, 0.000], [0.500, 0.364, 0.000], [0.500, 0.636, 0.000], [0.000, 0.000, 0.500], [0.000, 0.289, 0.500], [0.000, 0.500, 0.000], [0.000, 0.711, 0.500], [0.500, 0.000, 0.000], [0.500, 0.211, 0.500], [0.500, 0.500, 0.500], [0.500, 0.789, 0.500], [0.000, 0.413, 0.500], [0.000, 0.587, 0.500], [0.500, 0.087, 0.500], [0.500, 0.913, 0.500]],
  "m_tot_mub_per_fu": 0.0,
  "energy_ev_per_atom": -3.7686
}

{
  "formula": "ErTeAuO",
  "functional": "PBE",
  "state": "relaxed",
  "cell": [[5.630, 0.000, 0.000], [0.000, 10.094, 0.000], [0.000, 0.000, 5.646]],
  "species": ["Er", "Er", "Er", "Er", "Te", "Te", "Te", "Te", "Au", "Au", "Au", "Au", "O", "O", "O", "O"],
  "frac_coords": [[0.000, 0.105, 0.250], [0.000, 0.895, 0.750], [0.500, 0.105, 0.750], [0.500, 0.895, 0.250], [0.000, 0.283, 0.750], [0.000, 0.717, 0.250], [0.500, 0.283, 0.250], [0.500, 0.717, 0.750], [0.250, 0.500, 0.038], [0.250, 0.500, 0.538], [0.750, 0.500, 0.462], [0.750, 0.500, 0.962], [0.250, 0.000, 0.001], [0.250, 0.000, 0.501], [0.750, 0.000, 0.499], [0.750, 0.000, 0.999]],
  "m_tot_mub_per_fu": 0.0,
  "relative_energy_ev_per_atom": 0.036
}

{
  "formula": "HfPaPt",
  "functional": "PBE",
  "state": "relaxed",
  "cell": [[6.603, 0.000, 0.000], [0.000, 6.603, 0.000], [0.000, 0.000, 6.603]],
  "species": ["Hf", "Hf", "Hf", "Hf", "Pa", "Pa", "Pa", "Pa", "Pt", "Pt", "Pt", "Pt"],
  "frac_coords": [[0.000, 0.000, 0.000], [0.000, 0.500, 0.500], [0.500, 0.000, 0.500], [0.500, 0.500, 0.000], [0.250, 0.250, 0.250], [0.250, 0.750, 0.750], [0.750, 0.250, 0.750], [0.750, 0.750, 0.250], [0.000, 0.000, 0.500], [0.000, 0.500, 0.000], [0.500, 0.000, 0.000], [0.500, 0.500, 0.500]],
  "m_tot_mub_per_fu": 0.0,
  "delta_e_f_mev_per_atom": 259,
  "relative_energy_ev_per_atom": 0.487
}

{
  "formula": "ErTm2Cd3CuIr2",
  "functional": "PBE",
  "state": "relaxed",
  "cell": [[3.754, 0.000, 0.000], [0.000, 6.505, 3.750], [0.000, -6.505, 3.750]],
  "species": ["Er", "Tm", "Tm", "Cd", "Cd", "Cd", "Cu", "Ir", "Ir"],
  "frac_coords": [[0.000, 0.000, 0.000], [0.000, 0.416, 0.831], [0.000, 0.831, 0.416], [0.500, 0.166, 0.416], [0.500, 0.416, 0.166], [0.500, 0.666, 0.666], [0.000, 0.416, 0.416], [0.500, 0.083, 0.748], [0.500, 0.748, 0.083]],
  "m_tot_mub_per_fu": 0.0,
  "delta_e_f_mev_per_atom": -528
}

{
  "formula": "TlPdAu3O4",
  "functional": "PBE",
  "state": "relaxed",
  "cell": [[5.347, 0.000, 0.000], [0.000, 5.347, 0.000], [0.000, 0.000, 5.347]],
  "species": ["Tl", "Pd", "Au", "Au", "Au", "O", "O", "O", "O"],
  "frac_coords": [[0.000, 0.000, 0.000], [0.500, 0.500, 0.500], [0.000, 0.500, 0.500], [0.500, 0.000, 0.500], [0.500, 0.500, 0.000], [0.234, 0.234, 0.234], [0.234, 0.766, 0.766], [0.766, 0.234, 0.766], [0.766, 0.766, 0.234]],
  "energy_ev_per_atom": -3.7556
}

{
  "formula": "Nd2Sm2C2IBr2Cl2",
  "functional": "PBE",
  "state": "relaxed",
  "cell": [[9.631, -1.974, 0.000], [9.631, 1.974, 0.000], [-2.251, 0.000, 8.273]],
  "species": ["Nd", "Nd", "Sm", "Sm", "C", "C", "I", "Br", "Br", "Cl", "Cl"],
  "frac_coords": [[0.001, 0.001, 0.193], [0.999, 0.999, 0.807], [0.343, 0.343, 0.895], [0.657, 0.657, 0.105], [0.462, 0.462, 0.976], [0.538, 0.538, 0.024], [0.500, 0.500, 0.500], [0.169, 0.169, 0.850], [0.831, 0.831, 0.150], [0.160, 0.160, 0.336], [0.840, 0.840, 0.664]],
  "m_tot_mub_per_fu": 0.0,
  "relative_energy_ev_per_atom": 0.000
}

{
  "formula": "BaNbNi",
  "functional": "PBE",
  "state": "relaxed",
  "cell": [[6.821, 0.000, 0.000], [0.000, 6.821, 0.000], [0.000, 0.000, 6.821]],
  "species": ["Ba", "Ba", "Ba", "Ba", "Nb", "Nb", "Nb", "Nb", "Ni", "Ni", "Ni", "Ni"],
  "frac_coords": [[0.000, 0.000, 0.000], [0.000, 0.500, 0.500], [0.500, 0.000, 0.500], [0.500, 0.500, 0.000], [0.000, 0.000, 0.500], [0.000, 0.500, 0.000], [0.500, 0.000, 0.000], [0.500, 0.500, 0.500], [0.250, 0.250, 0.250], [0.250, 0.750, 0.750], [0.750, 0.250, 0.750], [0.750, 0.750, 0.250]],
  "m_tot_mub_per_fu": 2.5,
  "relative_energy_ev_per_atom": 0.000
}

{
  "formula": "PmTl",
  "functional": "PBE",
  "state": "relaxed",
  "cell": [[7.009, 0.000, 0.000], [0.000, 7.009, 0.000], [0.000, 0.000, 7.009]],
  "species": ["Pm", "Pm", "Pm", "Pm", "Tl", "Tl", "Tl", "Tl"],
  "frac_coords": [[0.000, 0.000, 0.000], [0.000, 0.500, 0.500], [0.500, 0.000, 0.500], [0.500, 0.500, 0.000], [0.250, 0.250, 0.750], [0.250, 0.750, 0.250], [0.750, 0.250, 0.250], [0.750, 0.750, 0.750]],
  "m_tot_mub_per_fu": 0.1,
  "energy_ev_per_atom": -2.9936
}

{
  "formula": "CsHg2Cl5",
  "functional": "PBE",
  "state": "relaxed",
  "cell": [[8.346, 0.000, 0.000], [0.000, 6.038, 0.000], [-3.176, 0.000, 10.393]],
  "species": ["Cs", "Cs", "Hg", "Hg", "Hg", "Hg", "Cl", "Cl", "Cl", "Cl", "Cl", "Cl", "Cl", "Cl", "Cl", "Cl"],
  "frac_coords": [[0.035, 0.250, 0.251], [0.965, 0.750, 0.749], [0.366, 0.750, 0.560], [0.461, 0.750, 0.141], [0.539, 0.250, 0.859], [0.634, 0.250, 0.440], [0.080, 0.750, 0.431], [0.168, 0.750, 0.101], [0.262, 0.250, 0.868], [0.405, 0.250, 0.561], [0.467, 0.250, 0.212], [0.533, 0.750, 0.788], [0.595, 0.750, 0.439], [0.738, 0.750, 0.132], [0.832, 0.250, 0.899], [0.920, 0.250, 0.569]],
  "energy_ev_per_atom": -2.3148
}

{
  "formula": "CsZrAgO3",
  "functional": "PBE",
  "state": "relaxed",
  "cell": [[1.697, -7.738, 0.000], [1.697, 7.738, 0.000], [0.000, 0.000, 8.512]],
  "species": ["Cs", "Cs", "Zr", "Zr", "Ag", "Ag", "O", "O", "O", "O", "O", "O"],
  "frac_coords": [[0.190, 0.810, 0.750], [0.810, 0.190, 0.250], [0.500, 0.500, 0.000], [0.500, 0.500, 0.500], [0.112, 0.888, 0.250], [0.888, 0.112, 0.750], [0.089, 0.911, 0.009], [0.089, 0.911, 0.491], [0.477, 0.523, 0.250], [0.523, 0.477, 0.750], [0.911, 0.089, 0.509], [0.911, 0.089, 0.991]],
  "m_tot_mub_per_fu": 0.0,
  "relative_energy_ev_per_atom": 0.061
}

{
  "formula": "Er3HfSi4",
  "functional": "PBE",
  "state": "relaxed",
  "cell": [[5.538, 0.000, 0.000], [0.000, 3.773, 0.000], [-0.100, 0.000, 7.606]],
  "species": ["Er", "Er", "Er", "Hf", "Si", "Si", "Si", "Si"],
  "frac_coords": [[0.000, 0.000, 0.000], [0.241, 0.500, 0.360], [0.505, 0.500, 0.856], [0.737, 0.000, 0.499], [0.254, 0.000, 0.637], [0.492, 0.000, 0.146], [0.756, 0.500, 0.229], [0.981, 0.500, 0.709]],
  "m_tot_mub_per_fu": 0.0,
  "energy_ev_per_atom": -6.4565
}

no.,ρ (kg/m3)
1,7984
2,8208
3,10513
4,13950
5,11698
6,10491
7,5124
8,6046
9,6739
10,4511
11,5646
12,8282